Entry 1:
Co2MoPt | SCAN | PBEsol geometry

Results
Crystal system: tetragonal
Energy above the lowest structure with this stoichiometry (meV per atom): 0
VASP energy (eV/atom): -35.042
DOS at the Fermi energy (states/eV per cell): 4.01
Formation energy (meV per atom): -120

Structure (CIF):
```
data_Co2MoPt
_cell_length_a 3.6453
_cell_length_b 3.6453
_cell_length_c 7.5330
_cell_angle_alpha 90.00
_cell_angle_beta 90.00
_cell_angle_gamma 90.00
_symmetry_space_group_name_H-M 'I -4 m 2'
_symmetry_Int_Tables_number 119
_symmetry_space_group_name_Hall 'I -4 -2'
loop_
_atom_site_label
_atom_site_type_symbol
_atom_site_fract_x
_atom_site_fract_y
_atom_site_fract_z
_atom_site_occupancy
Co1 Co 0.0000 0.0000 0.0000 1
Co2 Co 0.0000 0.5000 0.2500 1
Mo1 Mo 0.0000 0.5000 0.7500 1
Pt1 Pt 0.0000 0.0000 0.5000 1
```

=====

Entry 2:
ScCoMo2Pt | SCAN | PBEsol geometry

Results
Crystal system: tetragonal
VASP energy (eV/atom): -32.453
DOS at the Fermi energy (states/eV per cell): 5.44
Formation energy (meV per atom): 1848

Structure (CIF):
```
data_ScCoMo2Pt
_cell_length_a 4.4854
_cell_length_b 4.4854
_cell_length_c 4.1450
_cell_angle_alpha 90.00
_cell_angle_beta 90.00
_cell_angle_gamma 90.00
_symmetry_space_group_name_H-M 'P 4/m m m'
_symmetry_Int_Tables_number 123
_symmetry_space_group_name_Hall '-P 4 2'
loop_
_atom_site_label
_atom_site_type_symbol
_atom_site_fract_x
_atom_site_fract_y
_atom_site_fract_z
_atom_site_occupancy
Sc1 Sc 0.0000 0.0000 0.0000 1
Co1 Co 0.0000 0.0000 0.5000 1
Mo1 Mo 0.0000 0.5000 0.0000 1
Pt1 Pt 0.5000 0.5000 0.5000 1
```

=====

Entry 3:
CoMo2PtSe | SCAN | PBEsol geometry

Results
Crystal system: tetragonal
VASP energy (eV/atom): -34.031
DOS at the Fermi energy (states/eV per cell): 5.21

Structure (CIF):
```
data_CoMo2PtSe
_cell_length_a 4.7631
_cell_length_b 4.7631
_cell_length_c 4.5016
_cell_angle_alpha 90.00
_cell_angle_beta 90.00
_cell_angle_gamma 90.00
_symmetry_space_group_name_H-M 'P 4/m m m'
_symmetry_Int_Tables_number 123
_symmetry_space_group_name_Hall '-P 4 2'
loop_
_atom_site_label
_atom_site_type_symbol
_atom_site_fract_x
_atom_site_fract_y
_atom_site_fract_z
_atom_site_occupancy
Co1 Co 0.0000 0.0000 0.0000 1
Mo1 Mo 0.0000 0.5000 0.5000 1
Pt1 Pt 0.0000 0.0000 0.5000 1
Se1 Se 0.5000 0.5000 0.0000 1
```

=====

Entry 4:
CoTc2MoPt | SCAN | PBEsol geometry

Results
Crystal system: tetragonal
VASP energy (eV/atom): -36.424
DOS at the Fermi energy (states/eV per cell): 4.05
Formation energy (meV per atom): 2076

Structure (CIF):
```
data_CoTc2MoPt
_cell_length_a 4.6282
_cell_length_b 4.6282
_cell_length_c 4.6599
_cell_angle_alpha 90.00
_cell_angle_beta 90.00
_cell_angle_gamma 90.00
_symmetry_space_group_name_H-M 'P 4/m m m'
_symmetry_Int_Tables_number 123
_symmetry_space_group_name_Hall '-P 4 2'
loop_
_atom_site_label
_atom_site_type_symbol
_atom_site_fract_x
_atom_site_fract_y
_atom_site_fract_z
_atom_site_occupancy
Co1 Co 0.0000 0.0000 0.0000 1
Tc1 Tc 0.0000 0.5000 0.5000 1
Mo1 Mo 0.5000 0.5000 0.0000 1
Pt1 Pt 0.5000 0.5000 0.5000 1
```

=====

Entry 5:
CoReMo2 | SCAN | PBEsol geometry

Results
Crystal system: tetragonal
VASP energy (eV/atom): -39.355
DOS at the Fermi energy (states/eV per cell): 3.74
Formation energy (meV per atom): 188

Structure (CIF):
```
data_CoReMo2
_cell_length_a 3.1278
_cell_length_b 3.1278
_cell_length_c 5.6921
_cell_angle_alpha 90.00
_cell_angle_beta 90.00
_cell_angle_gamma 90.00
_symmetry_space_group_name_H-M 'P 4 m m'
_symmetry_Int_Tables_number 99
loop_
_symmetry_equiv_pos_as_xyz
'x,y,z'
'-y,x,z'
'-x,-y,z'
'y,-x,z'
'-x,y,z'
'y,x,z'
'x,-y,z'
'-y,-x,z'
loop_
_atom_site_label
_atom_site_type_symbol
_atom_site_fract_x
_atom_site_fract_y
_atom_site_fract_z
_atom_site_occupancy
Co1 Co 0.0000 0.0000 0.0000 1
Re1 Re 0.5000 0.5000 0.7367 1
Mo1 Mo 0.0000 0.0000 0.4861 1
Mo2 Mo 0.5000 0.5000 0.1979 1
```

=====

Entry 6:
CoMoRh | SCAN | PBEsol geometry

Results
Crystal system: cubic
Energy above the lowest structure with this stoichiometry (meV per atom): 0
VASP energy (eV/atom): -28.130
DOS at the Fermi energy (states/eV per cell): 3.17
Formation energy (meV per atom): 523

Structure (CIF):
```
data_CoMoRh
_cell_length_a 5.6668
_cell_length_b 5.6668
_cell_length_c 5.6668
_cell_angle_alpha 90.00
_cell_angle_beta 90.00
_cell_angle_gamma 90.00
_symmetry_space_group_name_H-M 'F -4 3 m'
_symmetry_Int_Tables_number 216
_symmetry_space_group_name_Hall 'F -4 2 3'
loop_
_atom_site_label
_atom_site_type_symbol
_atom_site_fract_x
_atom_site_fract_y
_atom_site_fract_z
_atom_site_occupancy
Co1 Co 0.0000 0.0000 0.0000 1
Mo1 Mo 0.2500 0.2500 0.7500 1
Rh1 Rh 0.0000 0.0000 0.5000 1
```

=====

Entry 7:
Co3MoRh | SCAN | PBEsol geometry

Results
Crystal system: cubic
VASP energy (eV/atom): -22.558
DOS at the Fermi energy (states/eV per cell): 5.15
Formation energy (meV per atom): 1556

Structure (CIF):
```
data_Co3MoRh
_cell_length_a 4.3374
_cell_length_b 4.3374
_cell_length_c 4.3374
_cell_angle_alpha 90.00
_cell_angle_beta 90.00
_cell_angle_gamma 90.00
_symmetry_space_group_name_H-M 'P m -3 m'
_symmetry_Int_Tables_number 221
_symmetry_space_group_name_Hall '-P 4 2 3'
loop_
_atom_site_label
_atom_site_type_symbol
_atom_site_fract_x
_atom_site_fract_y
_atom_site_fract_z
_atom_site_occupancy
Co1 Co 0.0000 0.0000 0.5000 1
Mo1 Mo 0.5000 0.5000 0.5000 1
Rh1 Rh 0.0000 0.0000 0.0000 1
```

=====

Entry 8:
CoMo2Rh | SCAN | PBEsol geometry

Results
Crystal system: orthorhombic
Energy above the lowest structure with this stoichiometry (meV per atom): 31
VASP energy (eV/atom): -30.181
DOS at the Fermi energy (states/eV per cell): 3.37
Formation energy (meV per atom): 31

Structure (CIF):
```
data_CoMo2Rh
_cell_length_a 2.6694
_cell_length_b 4.2963
_cell_length_c 4.6737
_cell_angle_alpha 90.00
_cell_angle_beta 90.00
_cell_angle_gamma 90.00
_symmetry_space_group_name_H-M 'P m m 2'
_symmetry_Int_Tables_number 25
loop_
_symmetry_equiv_pos_as_xyz
'x,y,z'
'-x,-y,z'
'-x,y,z'
'x,-y,z'
loop_
_atom_site_label
_atom_site_type_symbol
_atom_site_fract_x
_atom_site_fract_y
_atom_site_fract_z
_atom_site_occupancy
Co1 Co 0.0000 0.0000 0.0000 1
Mo1 Mo 0.5000 0.0000 0.5077 1
Mo2 Mo 0.5000 0.5000 0.8565 1
Rh1 Rh 0.0000 0.5000 0.3430 1
```

=====

Entry 9:
Co4MoRh | SCAN | PBEsol geometry

Results
Crystal system: cubic
VASP energy (eV/atom): -22.934
DOS at the Fermi energy (states/eV per cell): 20.86
Formation energy (meV per atom): 45

Structure (CIF):
```
data_Co4MoRh
_cell_length_a 6.5068
_cell_length_b 6.5068
_cell_length_c 6.5068
_cell_angle_alpha 90.00
_cell_angle_beta 90.00
_cell_angle_gamma 90.00
_symmetry_space_group_name_H-M 'F -4 3 m'
_symmetry_Int_Tables_number 216
_symmetry_space_group_name_Hall 'F -4 2 3'
loop_
_atom_site_label
_atom_site_type_symbol
_atom_site_fract_x
_atom_site_fract_y
_atom_site_fract_z
_atom_site_occupancy
Co1 Co 0.1248 0.1248 0.1248 1
Mo1 Mo 0.0000 0.0000 0.5000 1
Rh1 Rh 0.2500 0.2500 0.7500 1
```

=====

Entry 10:
CoMo2Rh | SCAN | PBEsol geometry

Results
Crystal system: orthorhombic
Energy above the lowest structure with this stoichiometry (meV per atom): 4
VASP energy (eV/atom): -30.207
DOS at the Fermi energy (states/eV per cell): 2.58
Formation energy (meV per atom): 4

Structure (CIF):
```
data_CoMo2Rh
_cell_length_a 2.6732
_cell_length_b 3.7663
_cell_length_c 5.3216
_cell_angle_alpha 90.00
_cell_angle_beta 90.00
_cell_angle_gamma 90.00
_symmetry_space_group_name_H-M 'P m m m'
_symmetry_Int_Tables_number 47
loop_
_symmetry_equiv_pos_as_xyz
'x,y,z'
'-x,-y,-z'
'-x,-y,z'
'x,y,-z'
'x,-y,-z'
'-x,y,z'
'-x,y,-z'
'x,-y,z'
loop_
_atom_site_label
_atom_site_type_symbol
_atom_site_fract_x
_atom_site_fract_y
_atom_site_fract_z
_atom_site_occupancy
Co1 Co 0.0000 0.0000 0.0000 1
Mo1 Mo 0.5000 0.5000 0.2397 1
Rh1 Rh 0.0000 0.0000 0.5000 1
```

=====

Entry 11:
CoMo3Rh | SCAN | PBEsol geometry

Results
Crystal system: cubic
VASP energy (eV/atom): -29.880
DOS at the Fermi energy (states/eV per cell): 5.86
Formation energy (meV per atom): 1266

Structure (CIF):
```
data_CoMo3Rh
_cell_length_a 4.3357
_cell_length_b 4.3357
_cell_length_c 4.3357
_cell_angle_alpha 90.00
_cell_angle_beta 90.00
_cell_angle_gamma 90.00
_symmetry_space_group_name_H-M 'P m -3 m'
_symmetry_Int_Tables_number 221
_symmetry_space_group_name_Hall '-P 4 2 3'
loop_
_atom_site_label
_atom_site_type_symbol
_atom_site_fract_x
_atom_site_fract_y
_atom_site_fract_z
_atom_site_occupancy
Co1 Co 0.0000 0.0000 0.0000 1
Mo1 Mo 0.0000 0.0000 0.5000 1
Rh1 Rh 0.5000 0.5000 0.5000 1
```

=====

Entry 12:
CoMo2Rh | SCAN | PBEsol geometry

Results
Crystal system: tetragonal
Energy above the lowest structure with this stoichiometry (meV per atom): 0
VASP energy (eV/atom): -30.211
DOS at the Fermi energy (states/eV per cell): 4.49
Formation energy (meV per atom): 0

Structure (CIF):
```
data_CoMo2Rh
_cell_length_a 3.7525
_cell_length_b 3.7525
_cell_length_c 7.5895
_cell_angle_alpha 90.00
_cell_angle_beta 90.00
_cell_angle_gamma 90.00
_symmetry_space_group_name_H-M 'I 4/m m m'
_symmetry_Int_Tables_number 139
_symmetry_space_group_name_Hall '-I 4 2'
loop_
_atom_site_label
_atom_site_type_symbol
_atom_site_fract_x
_atom_site_fract_y
_atom_site_fract_z
_atom_site_occupancy
Co1 Co 0.0000 0.0000 0.0000 1
Mo1 Mo 0.0000 0.5000 0.2500 1
Rh1 Rh 0.0000 0.0000 0.5000 1
```

=====

Entry 13:
CoMo2Rh | SCAN | PBEsol geometry

Results
Crystal system: orthorhombic
Energy above the lowest structure with this stoichiometry (meV per atom): 25
VASP energy (eV/atom): -30.186
DOS at the Fermi energy (states/eV per cell): 4.23
Formation energy (meV per atom): 25

Structure (CIF):
```
data_CoMo2Rh
_cell_length_a 5.3046
_cell_length_b 7.5768
_cell_length_c 2.6681
_cell_angle_alpha 90.00
_cell_angle_beta 90.00
_cell_angle_gamma 90.00
_symmetry_space_group_name_H-M 'C m m m'
_symmetry_Int_Tables_number 65
_symmetry_space_group_name_Hall '-C 2 2'
loop_
_atom_site_label
_atom_site_type_symbol
_atom_site_fract_x
_atom_site_fract_y
_atom_site_fract_z
_atom_site_occupancy
Co1 Co 0.0000 0.0000 0.0000 1
Mo1 Mo 0.2500 0.2500 0.5000 1
Rh1 Rh 0.0000 0.5000 0.0000 1
```

=====

Entry 14:
CoMo2Rh | SCAN | PBEsol geometry

Results
Crystal system: tetragonal
Energy above the lowest structure with this stoichiometry (meV per atom): 5
VASP energy (eV/atom): -30.206
DOS at the Fermi energy (states/eV per cell): 2.08
Formation energy (meV per atom): 5

Structure (CIF):
```
data_CoMo2Rh
_cell_length_a 3.7565
_cell_length_b 3.7565
_cell_length_c 3.7875
_cell_angle_alpha 90.00
_cell_angle_beta 90.00
_cell_angle_gamma 90.00
_symmetry_space_group_name_H-M 'P 4/m m m'
_symmetry_Int_Tables_number 123
_symmetry_space_group_name_Hall '-P 4 2'
loop_
_atom_site_label
_atom_site_type_symbol
_atom_site_fract_x
_atom_site_fract_y
_atom_site_fract_z
_atom_site_occupancy
Co1 Co 0.0000 0.0000 0.0000 1
Mo1 Mo 0.0000 0.5000 0.5000 1
Rh1 Rh 0.5000 0.5000 0.0000 1
```

=====

Entry 15:
CoMoRu2Rh | SCAN | PBEsol geometry

Results
Crystal system: tetragonal
VASP energy (eV/atom): -29.190
DOS at the Fermi energy (states/eV per cell): 5.41
Formation energy (meV per atom): 1933

Structure (CIF):
```
data_CoMoRu2Rh
_cell_length_a 4.5060
_cell_length_b 4.5060
_cell_length_c 4.3126
_cell_angle_alpha 90.00
_cell_angle_beta 90.00
_cell_angle_gamma 90.00
_symmetry_space_group_name_H-M 'P 4/m m m'
_symmetry_Int_Tables_number 123
_symmetry_space_group_name_Hall '-P 4 2'
loop_
_atom_site_label
_atom_site_type_symbol
_atom_site_fract_x
_atom_site_fract_y
_atom_site_fract_z
_atom_site_occupancy
Co1 Co 0.0000 0.0000 0.0000 1
Mo1 Mo 0.5000 0.5000 0.0000 1
Ru1 Ru 0.0000 0.5000 0.5000 1
Rh1 Rh 0.0000 0.0000 0.5000 1
```